This record from Alexandria via LeMat-Bulk describes a relaxed HfTa2InRe crystal. The functional is GGA-PBE.

a = 4.8611 Å, b = 4.8611 Å, c = 5.0370 Å
α = 90.00°, β = 90.00°, γ = 90.00°
Element x y z (fractional)
Re 0.0000 0.0000 0.0000
In 0.0000 0.0000 0.5000
Hf 0.5000 0.5000 0.5000
Ta 0.0000 0.5000 0.0000
Ta 0.5000 0.0000 0.0000

Space-group type: No. 123
Calculated formation energy: 1.167 eV/atom

This record from Alexandria via LeMat-Bulk describes a relaxed Pm4PrTm7 crystal. The functional is GGA-PBE.

a = 6.9932 Å, b = 6.7858 Å, c = 12.1955 Å
α = 73.16°, β = 44.34°, γ = 76.25°
Element x y z (fractional)
Pm 0.4531 0.6519 0.3178
Pm 0.5469 0.3481 0.6822
Pm 0.7286 0.8148 0.6670
Pm 0.2714 0.1852 0.3330
Pr 0.0000 0.0000 0.0000
Tm 0.7721 0.5172 0.9768
Tm 0.2279 0.4828 0.0232
Tm 0.0615 0.3246 0.6717
Tm 0.9385 0.6754 0.3283
Tm 0.2548 0.8220 0.6379
Tm 0.5000 0.0000 0.0000
Tm 0.7452 0.1780 0.3621

Space-group type: No. 2
Calculated formation energy: 0.077 eV/atom
Relative energy among the computed polymorphs: 0 meV/atom

This record from Alexandria via LeMat-Bulk describes a relaxed PaTiOs2 crystal. The functional is GGA-PBE.

a = 3.1078 Å, b = 3.1078 Å, c = 7.1481 Å
α = 90.00°, β = 90.00°, γ = 90.00°
Element x y z (fractional)
Pa 0.5000 0.5000 0.5000
Os 0.0000 0.0000 0.7873
Os 0.0000 0.0000 0.2127
Ti 0.5000 0.5000 0.0000

Space-group type: No. 123
Calculated formation energy: -0.403 eV/atom

This record from Alexandria via LeMat-Bulk describes a relaxed CsHoMn2Br8 crystal. The functional is GGA-PBE.

a = 6.8496 Å, b = 6.8496 Å, c = 11.8544 Å
α = 73.21°, β = 73.21°, γ = 60.00°
Site moments in Bohr magnetons follow the coordinates.
Element x y z (fractional)
Cs 0.0000 0.0000 0.0000  0.00
Ho 0.5000 0.5000 0.5000  0.08
Mn 0.7558 0.7558 0.7324  4.31
Mn 0.2442 0.2442 0.2676  4.31
Br 0.6836 0.6836 0.9491  0.07
Br 0.3164 0.3164 0.0509  0.07
Br 0.5673 0.2316 0.3373  0.04
Br 0.7684 0.4327 0.6627  0.04
Br 0.1362 0.7684 0.6627  0.04
Br 0.2316 0.8638 0.3373  0.04
Br 0.8638 0.5673 0.3373  0.04
Br 0.4327 0.1362 0.6627  0.04

Space-group type: No. 155
Formation energy without anion corrections: -1.2715 eV/atom

This record from Alexandria via LeMat-Bulk describes a relaxed LiLaSe2 crystal. The functional is GGA-PBE.

a = 3.7182 Å, b = 3.8470 Å, c = 7.2848 Å
α = 88.32°, β = 90.00°, γ = 90.00°
Element x y z (fractional)
La 0.5000 0.2500 0.2500
Li 0.5000 0.7500 0.7500
Se 0.0000 0.7648 0.0161
Se 0.0000 0.7352 0.4839

Space-group type: No. 10
Formation energy without anion corrections: -1.5408 eV/atom

This record from Alexandria via LeMat-Bulk describes a relaxed BiN2O2 crystal. The functional is GGA-PBE.

a = 3.8297 Å, b = 3.8297 Å, c = 3.5101 Å
α = 90.00°, β = 90.00°, γ = 90.00°
Site moments in Bohr magnetons follow the coordinates.
Element x y z (fractional)
Bi 0.5000 0.5000 0.5000  -0.01
O 0.0000 0.5000 0.0000  0.11
O 0.5000 0.0000 0.0000  0.11
N 0.0000 0.0000 0.0000  -0.06
N 0.0000 0.0000 0.5000  0.34

Space-group type: No. 123
Formation energy without anion corrections: 1.1419 eV/atom
Relative energy among the computed polymorphs: 1601 meV/atom

no.,total magnetic moment (μB/cell)
1,0.0
2,0.0
3,0.0
4,10.0
5,0.0
6,0.6